Sn2SeS after structural relaxation, computed with GGA-PBEsol.

Results
Electronic total energy = -4.6379 eV per atom
Space group = Pmc2_1 (26)
Formation energy (no corrections) = -450 meV per atom

a = 4.0573 Å, b = 4.3188 Å, c = 11.2224 Å
α = 90.00°, β = 90.00°, γ = 90.00°
With the nearest neighbours (Å) after each atom.
Element x y z (fractional)
Sn1 0.0000 0.1245 0.6144  2 S 2.68, 1 Se 2.78
Sn2 0.0000 0.8755 0.1144  2 S 2.68, 1 Se 2.78
Sn3 0.5000 0.3324 0.3792  1 S 2.61, 2 Se 2.78
Sn4 0.5000 0.6676 0.8792  1 S 2.61, 2 Se 2.78
Se1 0.0000 0.7709 0.3588  3 Sn 2.78
Se2 0.0000 0.2291 0.8588  3 Sn 2.78
S1 0.5000 0.7272 0.6477  3 Sn 2.61-2.68
S2 0.5000 0.2728 0.1477  3 Sn 2.61-2.68